Below is crystalline Tm3Si2Pt7 at its relaxed geometry, with properties calculated at the PBE-GGA level. Values from VASP.

```
&SYSTEM
  ibrav = 0, nat = 12, ntyp = 3
/
ATOMIC_SPECIES
Tm 168.93 Tm.upf
Si 28.09 Si.upf
Pt 195.08 Pt.upf
CELL_PARAMETERS angstrom
3.959 0.000 0.000
0.000 4.049 -0.601
0.000 0.053 14.286
ATOMIC_POSITIONS crystal
Tm 0.500 0.500 0.000
Tm 0.500 0.702 0.405
Tm 0.500 0.298 0.595
Si 0.000 0.917 0.834
Si 0.000 0.083 0.166
Pt 0.000 0.371 0.742
Pt 0.000 0.787 0.575
Pt 0.000 0.000 0.000
Pt 0.000 0.629 0.258
Pt 0.500 0.130 0.260
Pt 0.500 0.870 0.740
Pt 0.000 0.213 0.425
```

Output
As for the total energy: -6.56 eV per atom. As for the symmetry: Cmmm. As for the density of states at the Fermi level: 4.07 states/eV per cell.

Below is crystalline CsAl3Ru at its relaxed geometry, with properties calculated at the PBE-GGA level. Values from VASP.

```
&SYSTEM
  ibrav = 0, nat = 5, ntyp = 3
/
ATOMIC_SPECIES
Cs 132.91 Cs.upf
Ru 101.07 Ru.upf
Al 26.98 Al.upf
CELL_PARAMETERS angstrom
-3.957 2.119 2.058
1.948 -0.715 4.481
2.221 4.403 -0.263
ATOMIC_POSITIONS crystal
Cs 0.500 0.500 0.500
Ru 0.000 0.000 0.000
Al 0.000 0.500 0.000
Al 0.000 0.000 0.500
Al 0.500 0.000 0.000
```

Output
For the excess energy over the best structure of this formula in the dataset, the calculation gives 0 meV/atom. For the formation energy, the calculation gives -0.111 eV/atom. As for the symmetry: Pm-3m. As for the density of states at the Fermi level: 0.65 states/eV per cell.

Below is crystalline Dy4Er10Th at its relaxed geometry, with properties calculated at the PBE-GGA level. Values from VASP.

```
&SYSTEM
  ibrav = 0, nat = 15, ntyp = 3
/
ATOMIC_SPECIES
Dy 162.50 Dy.upf
Er 167.26 Er.upf
Th 232.04 Th.upf
CELL_PARAMETERS angstrom
3.249 7.175 6.707
-2.477 0.958 8.154
6.659 -0.578 5.372
ATOMIC_POSITIONS crystal
Dy 0.335 0.735 0.594
Dy 0.930 0.406 0.735
Dy 0.070 0.594 0.265
Dy 0.665 0.265 0.406
Er 0.250 0.500 0.500
Er 0.549 0.324 0.901
Er 0.127 0.099 0.324
Er 0.550 0.901 0.676
Er 0.774 0.676 0.099
Er 0.451 0.676 0.099
Er 0.750 0.500 0.500
Er 0.226 0.324 0.901
Er 0.450 0.099 0.324
Er 0.873 0.901 0.676
Th 0.000 0.000 0.000
```

Output
For the formation energy, the calculation gives 0.400 eV/atom. As for the symmetry: I4/m. As for the density of states at the Fermi level: 26.05 states/eV per cell.

Below is crystalline Hf4SnTe at its relaxed geometry, with properties calculated at the PBE-GGA level. Values from VASP.

```
&SYSTEM
  ibrav = 0, nat = 12, ntyp = 3
/
ATOMIC_SPECIES
Hf 178.49 Hf.upf
Sn 118.71 Sn.upf
Te 127.60 Te.upf
CELL_PARAMETERS angstrom
6.749 0.225 0.000
-0.942 6.661 0.000
-2.904 -3.443 6.078
ATOMIC_POSITIONS crystal
Hf 0.243 0.980 0.632
Hf 0.980 0.728 0.122
Hf 0.111 0.348 0.368
Hf 0.358 0.606 0.878
Hf 0.757 0.020 0.368
Hf 0.889 0.652 0.632
Hf 0.020 0.272 0.878
Hf 0.642 0.394 0.122
Sn 0.419 0.669 0.337
Sn 0.581 0.331 0.663
Te 0.708 0.958 0.915
Te 0.292 0.042 0.085
```

Output
As for the total energy: -8.09 eV per atom. As for the symmetry: C2/c. As for the density of states at the Fermi level: 8.67 states/eV per cell.

Below is crystalline K3IrO8 at its relaxed geometry, with properties calculated at the PBE-GGA level. Values from VASP.

```
&SYSTEM
  ibrav = 0, nat = 12, ntyp = 3
/
ATOMIC_SPECIES
K 39.10 K.upf
Ir 192.22 Ir.upf
O 16.00 O.upf
CELL_PARAMETERS angstrom
-5.260 1.348 3.288
1.599 -6.141 0.173
5.228 2.740 2.338
ATOMIC_POSITIONS crystal
K 0.500 0.750 0.250
K 0.500 0.250 0.750
K 0.000 0.500 0.500
Ir 0.000 0.000 0.000
O 0.414 0.244 0.244
O 0.586 0.830 0.830
O 0.000 0.756 0.170
O 0.000 0.170 0.756
O 0.289 0.346 0.346
O 0.711 0.057 0.057
O 0.000 0.654 0.943
O 0.000 0.943 0.654
```

Output
As for the total energy: -4.93 eV per atom. As for the symmetry: I-42m.

Below is crystalline Th2SiAs at its relaxed geometry, with properties calculated at the PBE-GGA level. Values from VASP.

```
&SYSTEM
  ibrav = 0, nat = 4, ntyp = 3
/
ATOMIC_SPECIES
As 74.92 As.upf
Si 28.09 Si.upf
Th 232.04 Th.upf
CELL_PARAMETERS angstrom
4.261 0.000 0.000
2.131 3.691 0.000
2.131 1.230 6.977
ATOMIC_POSITIONS crystal
As 0.000 0.000 0.000
Si 0.500 0.500 0.500
Th 0.752 0.752 0.743
Th 0.248 0.248 0.257
```

Output
For the excess energy over the best structure of this formula in the dataset, the calculation gives 2 meV/atom. As for the symmetry: R-3m. As for the density of states at the Fermi level: 2.03 states/eV per cell.

Below is crystalline Pm4Pr2Th at its relaxed geometry, with properties calculated at the PBE-GGA level. Values from VASP.

```
&SYSTEM
  ibrav = 0, nat = 7, ntyp = 3
/
ATOMIC_SPECIES
Pm 145.00 Pm.upf
Pr 140.91 Pr.upf
Th 232.04 Th.upf
CELL_PARAMETERS angstrom
-0.005 1.192 -3.468
-3.107 -1.228 1.521
-2.231 19.714 6.781
ATOMIC_POSITIONS crystal
Pm 0.907 0.814 0.950
Pm 0.431 0.862 0.527
Pm 0.002 0.004 0.240
Pm 0.521 0.043 0.807
Pr 0.618 0.236 0.095
Pr 0.712 0.424 0.382
Th 0.810 0.620 0.667
```

Output
For the excess energy over the best structure of this formula in the dataset, the calculation gives 21 meV/atom. For the formation energy, the calculation gives 0.038 eV/atom. As for the symmetry: Cm. As for the density of states at the Fermi level: 11.69 states/eV per cell.

Below is crystalline KYBeNi2 at its relaxed geometry, with properties calculated at the PBE-GGA level. Values from VASP.

```
&SYSTEM
  ibrav = 0, nat = 5, ntyp = 4
/
ATOMIC_SPECIES
Y 88.91 Y.upf
Ni 58.69 Ni.upf
K 39.10 K.upf
Be 9.01 Be.upf
CELL_PARAMETERS angstrom
-3.902 0.143 -3.151
-1.965 -4.604 2.224
-2.591 2.715 3.331
ATOMIC_POSITIONS crystal
Y 0.000 0.000 0.000
Ni 0.000 0.000 0.500
Ni 0.500 0.000 0.000
K 0.500 0.500 0.500
Be 0.000 0.500 0.000
```

Output
For the formation energy, the calculation gives 1.123 eV/atom. As for the symmetry: P4/mmm. As for the density of states at the Fermi level: 3.44 states/eV per cell.

Below is crystalline AlSbI2N at its relaxed geometry, with properties calculated at the PBE-GGA level. Values from VASP.

```
&SYSTEM
  ibrav = 0, nat = 5, ntyp = 4
/
ATOMIC_SPECIES
I 126.90 I.upf
Sb 121.76 Sb.upf
Al 26.98 Al.upf
N 14.01 N.upf
CELL_PARAMETERS angstrom
5.914 0.000 0.000
0.000 5.914 0.000
0.000 0.000 3.561
ATOMIC_POSITIONS crystal
I 0.000 0.500 0.000
I 0.500 0.000 0.000
Sb 0.500 0.500 0.500
Al 0.000 0.000 0.000
N 0.000 0.000 0.500
```

Output
For the excess energy over the best structure of this formula in the dataset, the calculation gives 0 meV/atom. As for the symmetry: P4/mmm. As for the density of states at the Fermi level: 5.58 states/eV per cell.

Below is crystalline CuSn3Pd6 at its relaxed geometry, with properties calculated at the PBE-GGA level. Values from VASP.

```
&SYSTEM
  ibrav = 0, nat = 20, ntyp = 3
/
ATOMIC_SPECIES
Cu 63.55 Cu.upf
Sn 118.71 Sn.upf
Pd 106.42 Pd.upf
CELL_PARAMETERS angstrom
5.425 0.000 0.000
0.000 8.211 -0.173
0.000 -2.001 7.965
ATOMIC_POSITIONS crystal
Cu 0.078 0.164 0.836
Cu 0.578 0.836 0.164
Sn 0.415 0.929 0.702
Sn 0.915 0.702 0.929
Sn 0.210 0.357 0.643
Sn 0.710 0.643 0.357
Sn 0.915 0.071 0.298
Sn 0.415 0.298 0.071
Pd 0.103 0.667 0.615
Pd 0.603 0.615 0.667
Pd 0.375 0.568 0.953
Pd 0.875 0.953 0.568
Pd 0.231 0.970 0.030
Pd 0.680 0.280 0.720
Pd 0.180 0.720 0.280
Pd 0.731 0.030 0.970
Pd 0.375 0.047 0.432
Pd 0.875 0.432 0.047
Pd 0.103 0.385 0.333
Pd 0.603 0.333 0.385
```

Output
For the formation energy, the calculation gives -0.337 eV/atom. As for the symmetry: Cmc2_1. As for the density of states at the Fermi level: 7.74 states/eV per cell.

Below is crystalline Ce2MnGe4Pd3 at its relaxed geometry, with properties calculated at the PBE-GGA level. Values from VASP.

```
&SYSTEM
  ibrav = 0, nat = 10, ntyp = 4
/
ATOMIC_SPECIES
Ce 140.12 Ce.upf
Mn 54.94 Mn.upf
Ge 72.64 Ge.upf
Pd 106.42 Pd.upf
CELL_PARAMETERS angstrom
-0.246 -3.065 2.973
3.739 -1.593 -1.332
5.015 6.136 6.742
ATOMIC_POSITIONS crystal
Ce 0.500 0.000 0.248
Ce 0.000 0.500 0.752
Mn 0.500 0.500 0.500
Ge 0.500 0.500 0.000
Ge 0.000 0.000 0.000
Ge 0.500 0.000 0.633
Ge 0.000 0.500 0.367
Pd 0.000 0.000 0.500
Pd 0.500 0.000 0.870
Pd 0.000 0.500 0.130
```

Output
For the formation energy, the calculation gives -0.688 eV/atom. As for the symmetry: P-4m2. As for the density of states at the Fermi level: 11.62 states/eV per cell.

Below is crystalline ScMn2Cl2 at its relaxed geometry, with properties calculated at the PBE-GGA level. Values from VASP.

```
&SYSTEM
  ibrav = 0, nat = 5, ntyp = 3
/
ATOMIC_SPECIES
Sc 44.96 Sc.upf
Mn 54.94 Mn.upf
Cl 35.45 Cl.upf
CELL_PARAMETERS angstrom
-3.771 0.142 -0.522
0.424 -1.513 -3.470
-2.122 -5.329 -0.027
ATOMIC_POSITIONS crystal
Sc 0.000 0.000 0.000
Mn 0.750 0.250 0.500
Mn 0.250 0.750 0.500
Cl 0.361 0.361 0.278
Cl 0.639 0.639 0.722
```

Output
For the excess energy over the best structure of this formula in the dataset, the calculation gives 214 meV/atom. As for the symmetry: I4/mmm. As for the density of states at the Fermi level: 6.24 states/eV per cell.

| no. | calculated volume (Å³/f.u.) |
| --- | --- |
| 1 | 229.1 |
| 2 | 120.4 |
| 3 | 483.9 |
| 4 | 137.3 |
| 5 | 194.2 |
| 6 | 109.7 |
| 7 | 243.2 |
| 8 | 137.9 |
| 9 | 124.5 |
| 10 | 176.5 |
| 11 | 190.3 |
| 12 | 73.5 |